An optimized crystal structure of PmPr6Sm12. Source: Alexandria via LeMat-Bulk, functional PBE-GGA.

As for the energy of formation: 0.42 eV/atom. The total DFT energy (no corrections) is -4.32 eV/atom. As for the offset from the most stable computed form: 0.2166 eV/atom. The value obtained for the density of states at the Fermi level is 29.29 states/eV/f.u.

Cell: 9.0304 9.0304 9.0304 Å, 100.78 100.78 100.78°
Atoms (fractional coordinates):
Pm: 0.0000 0.0000 0.0000
Pr: 0.7376 0.2275 0.2275
Pr: 0.2275 0.2275 0.7376
Pr: 0.2275 0.7376 0.2275
Pr: 0.7725 0.7725 0.2624
Pr: 0.2624 0.7725 0.7725
Pr: 0.7725 0.2624 0.7725
Sm: 0.8874 0.1126 0.5000
Sm: 0.8358 0.5589 0.5589
Sm: 0.5589 0.5589 0.8358
Sm: 0.4411 0.1642 0.4411
Sm: 0.4411 0.4411 0.1642
Sm: 0.1642 0.4411 0.4411
Sm: 0.1126 0.5000 0.8874
Sm: 0.5000 0.8874 0.1126
Sm: 0.1126 0.8874 0.5000
Sm: 0.8874 0.5000 0.1126
Sm: 0.5000 0.1126 0.8874
Sm: 0.5589 0.8358 0.5589

An optimized crystal structure of PmPr14Sm. Source: Alexandria via LeMat-Bulk, functional PBE-GGA.

As for the energy of formation: 0.01 eV/atom. The total DFT energy (no corrections) is -4.76 eV/atom. The value obtained for the density of states at the Fermi level is 27.37 states/eV/f.u.

Cell: 7.4017 7.4017 10.4962 Å, 90.00 90.00 90.00°
Atoms (fractional coordinates):
Pm: 0.3750 0.6250 0.0000
Pr: 0.3750 0.6250 0.5000
Pr: 0.8750 0.1250 0.5000
Pr: 0.8749 0.6249 0.0000
Pr: 0.8751 0.6251 0.5000
Pr: 0.3751 0.1251 0.0000
Pr: 0.3749 0.1249 0.5000
Pr: 0.6251 0.8751 0.7512
Pr: 0.6251 0.8751 0.2488
Pr: 0.1249 0.3749 0.7512
Pr: 0.1249 0.3749 0.2488
Pr: 0.1248 0.8752 0.7513
Pr: 0.1248 0.8752 0.2487
Pr: 0.6252 0.3748 0.7512
Pr: 0.6252 0.3748 0.2488
Sm: 0.8750 0.1250 0.0000

An optimized crystal structure of Pm7PrSm4. Source: Alexandria via LeMat-Bulk, functional PBE-GGA.

As for the energy of formation: 0.20 eV/atom. The total DFT energy (no corrections) is -4.54 eV/atom. As for the offset from the most stable computed form: 0.1944 eV/atom. The value obtained for the density of states at the Fermi level is 20.37 states/eV/f.u.

Cell: 6.0573 9.8742 8.7028 Å, 60.85 69.63 72.14°
Atoms (fractional coordinates):
Pm: 0.7857 0.8797 0.5488
Pm: 0.2143 0.1203 0.4512
Pm: 0.0834 0.5552 0.2780
Pm: 0.9166 0.4448 0.7220
Pm: 0.2092 0.7701 0.8114
Pm: 0.5000 0.0000 0.0000
Pm: 0.7908 0.2299 0.1886
Pr: 0.0000 0.0000 0.0000
Sm: 0.5735 0.3018 0.5512
Sm: 0.4265 0.6982 0.4488
Sm: 0.6721 0.6118 0.0440
Sm: 0.3279 0.3882 0.9560

An optimized crystal structure of Pm12PrSm7. Source: Alexandria via LeMat-Bulk, functional PBE-GGA.

As for the energy of formation: 0.61 eV/atom. The total DFT energy (no corrections) is -4.13 eV/atom. As for the offset from the most stable computed form: 0.5168 eV/atom. The value obtained for the density of states at the Fermi level is 26.08 states/eV/f.u.

Cell: 10.0165 10.0165 10.0165 Å, 109.47 109.47 109.47°
Atoms (fractional coordinates):
Pm: 0.4970 0.7482 0.7488
Pm: 0.9994 0.7482 0.2512
Pm: 0.5030 0.2518 0.2512
Pm: 0.0006 0.2518 0.7488
Pm: 0.7488 0.0006 0.2518
Pm: 0.7488 0.4970 0.7482
Pm: 0.2512 0.9994 0.7482
Pm: 0.2512 0.5030 0.2518
Pm: 0.7482 0.7488 0.4970
Pm: 0.2518 0.2512 0.5030
Pm: 0.7482 0.2512 0.9994
Pm: 0.2518 0.7488 0.0006
Pr: 0.0000 0.0000 0.0000
Sm: 0.5000 0.5000 0.0000
Sm: 0.0000 0.5000 0.5000
Sm: 0.5000 0.0000 0.5000
Sm: 0.5000 0.5000 0.5000
Sm: 0.0000 0.0000 0.5000
Sm: 0.5000 0.0000 0.0000
Sm: 0.0000 0.5000 0.0000

An optimized crystal structure of Pm4PrSm6. Source: Alexandria via LeMat-Bulk, functional PBE-GGA.

As for the energy of formation: 0.16 eV/atom. The total DFT energy (no corrections) is -4.58 eV/atom. As for the offset from the most stable computed form: 0.0000 eV/atom. The value obtained for the density of states at the Fermi level is 16.37 states/eV/f.u.

Cell: 3.6259 11.1444 11.1444 Å, 120.00 90.00 90.00°
Atoms (fractional coordinates):
Pm: 0.5000 0.8365 0.6731
Pm: 0.5000 0.3269 0.1635
Pm: 0.5000 0.8365 0.1635
Pm: 0.0000 0.3333 0.6667
Pr: 0.0000 0.0000 0.0000
Sm: 0.0000 0.5201 0.0403
Sm: 0.5000 0.6346 0.8173
Sm: 0.0000 0.5201 0.4799
Sm: 0.0000 0.9597 0.4799
Sm: 0.5000 0.1827 0.8173
Sm: 0.5000 0.1827 0.3654

An optimized crystal structure of Pm3Pr2Sm3. Source: Alexandria via LeMat-Bulk, functional PBE-GGA.

As for the energy of formation: 0.01 eV/atom. The total DFT energy (no corrections) is -4.73 eV/atom. As for the offset from the most stable computed form: 0.0000 eV/atom. The value obtained for the density of states at the Fermi level is 12.89 states/eV/f.u.

Cell: 5.1710 5.1749 10.9624 Å, 103.65 103.64 90.00°
Atoms (fractional coordinates):
Pm: 0.1237 0.1237 0.2473
Pm: 0.0000 0.5000 0.0000
Pm: 0.8763 0.8763 0.7527
Pr: 0.7501 0.2501 0.5002
Pr: 0.2499 0.7499 0.4998
Sm: 0.6238 0.6238 0.2476
Sm: 0.3762 0.3762 0.7524
Sm: 0.5000 0.0000 0.0000

An optimized crystal structure of Pm3Pr6Sm. Source: Alexandria via LeMat-Bulk, functional PBE-GGA.

As for the energy of formation: 0.13 eV/atom. The total DFT energy (no corrections) is -4.64 eV/atom. As for the offset from the most stable computed form: 0.0000 eV/atom. The value obtained for the density of states at the Fermi level is 13.40 states/eV/f.u.

Cell: 6.5434 11.2408 11.2408 Å, 120.75 90.00 90.00°
Atoms (fractional coordinates):
Pm: 0.4608 0.9426 0.7068
Pm: 0.9608 0.7068 0.9426
Pm: 0.0886 0.3827 0.6173
Pm: 0.5886 0.6173 0.3827
Pm: 0.9608 0.0574 0.2932
Pm: 0.4608 0.2932 0.0574
Pr: 0.0568 0.7099 0.6301
Pr: 0.5568 0.6301 0.7099
Pr: 0.3732 0.5265 0.9420
Pr: 0.8732 0.9420 0.5265
Pr: 0.3568 0.9662 0.0338
Pr: 0.6502 0.2805 0.7195
Pr: 0.1502 0.7195 0.2805
Pr: 0.8568 0.0338 0.9662
Pr: 0.3732 0.0580 0.4735
Pr: 0.8732 0.4735 0.0580
Pr: 0.0568 0.3699 0.2901
Pr: 0.5568 0.2901 0.3699
Sm: 0.1081 0.1903 0.8097
Sm: 0.6081 0.8097 0.1903

An optimized crystal structure of Pm4PrSm. Source: Alexandria via LeMat-Bulk, functional PBE-GGA.

As for the energy of formation: 0.10 eV/atom. The total DFT energy (no corrections) is -4.65 eV/atom. As for the offset from the most stable computed form: 0.0823 eV/atom. The value obtained for the density of states at the Fermi level is 9.88 states/eV/f.u.

Cell: 6.4707 6.4707 6.1089 Å, 90.05 90.05 54.49°
Atoms (fractional coordinates):
Pm: 0.3235 0.3235 0.9516
Pm: 0.6765 0.6765 0.0484
Pm: 0.8239 0.8239 0.5494
Pm: 0.1761 0.1761 0.4506
Pr: 0.5000 0.5000 0.5000
Sm: 0.0000 0.0000 0.0000